(1)
An optimized crystal structure of VPdS2, computed with PBE-GGA.

The calculation puts the uncorrected formation energy at -0.551 eV/atom. The calculation puts the calculated volume at 15.5 Å³/atom.

a = 5.8200 Å, b = 3.5742 Å, c = 5.9809 Å
α = 90.00°, β = 92.34°, γ = 90.00°
Last column: nearest neighbours and their distance in Å.
Space group C2/m (No. 12)
One atom of each set of equivalent atoms:
1 V 0.0000 0.0000 0.0000 [2 per cell]  6 S 2.41-2.42
2 Pd 0.0000 0.0000 0.5000 [2 per cell]  6 S 2.48-2.63
3 S 0.1672 0.5000 0.2269 [4 per cell]  3 V 2.41-2.42, 3 Pd 2.48-2.63

(2)
An optimized crystal structure of Li2YI, computed with PBE-GGA.

The calculation puts the uncorrected formation energy at -0.174 eV/atom. The calculation puts the calculated volume at 27.2 Å³/atom. The calculation puts the energy above the most stable polymorph in this dataset at 0 meV/atom.

a = 8.4377 Å, b = 8.4377 Å, c = 6.1110 Å
α = 90.00°, β = 90.00°, γ = 90.00°
Last column: nearest neighbours and their distance in Å.
Space group I-42d (No. 122)
One atom of each set of equivalent atoms:
1 Li 0.2015 0.7500 0.1250 [8 per cell]  2 I 2.81
2 Y 0.0000 0.0000 0.5000 [4 per cell]  2 I 3.06, 4 Li 3.37
3 I 0.0000 0.0000 0.0000 [4 per cell]  4 Li 2.81, 2 Y 3.06